Below is Pa3AlNi2 after structural relaxation, with properties calculated at the PBE level.

The structure in POSCAR format:
```
Pa3AlNi2
1.0
6.697 0.063 0.049
2.224 6.317 0.049
2.224 1.591 6.114
Ni Pa Al
4 6 2
Direct
0.337 0.337 0.337
0.663 0.663 0.663
0.837 0.837 0.837
0.163 0.163 0.163
0.940 0.250 0.560
0.060 0.750 0.440
0.560 0.940 0.250
0.440 0.060 0.750
0.750 0.440 0.060
0.250 0.560 0.940
0.500 0.500 0.500
0.000 0.000 0.000
```

## Properties
For the energy relative to the elements, the calculation gives 23 meV/atom. The volume is 256.8 Å³/cell. The value obtained for the magnetic moment is 0.00 μB per formula unit.

Below is PaAl2Ni after structural relaxation, with properties calculated at the PBE level.

The structure in POSCAR format:
```
PaAl2Ni
1.0
2.915 0.000 0.000
1.458 2.525 0.000
1.458 0.842 9.907
Al Pa Ni
2 1 1
Direct
0.104 0.104 0.687
0.896 0.896 0.313
0.000 0.000 0.000
0.500 0.500 0.500
```

## Properties
For the energy relative to the elements, the calculation gives 95 meV/atom. The volume is 72.9 Å³/cell. The value obtained for the magnetic moment is 0.00 μB per formula unit.

Below is Pa3AlNi4 after structural relaxation, with properties calculated at the PBE level.

The structure in POSCAR format:
```
Pa3AlNi4
1.0
-1.720 -0.823 -2.929
3.998 -4.337 -1.129
-5.121 -2.044 5.666
Ni Pa Al
4 3 1
Direct
0.628 0.425 0.256
0.372 0.169 0.744
0.628 0.831 0.256
0.372 0.575 0.744
0.806 0.807 0.613
0.194 0.193 0.387
0.000 0.500 0.000
0.500 0.000 0.000
```

## Properties
For the energy relative to the elements, the calculation gives -286 meV/atom. The volume is 149.1 Å³/cell. The value obtained for the magnetic moment is 0.00 μB per formula unit. The energy above the most stable polymorph in this dataset is 0.085 eV/atom.

Below is Pa3AlNi8 after structural relaxation, with properties calculated at the PBE level.

The structure in POSCAR format:
```
Pa3AlNi8
1.0
4.945 0.000 0.000
-2.472 4.282 0.000
0.000 0.000 8.243
Ni Pa Al
8 3 1
Direct
0.333 0.667 0.505
0.499 0.501 0.746
0.166 0.834 0.258
0.333 0.667 0.010
0.002 0.501 0.746
0.668 0.834 0.258
0.166 0.332 0.258
0.499 0.998 0.746
0.000 0.000 0.923
0.667 0.333 0.445
0.667 0.333 0.058
0.000 0.000 0.548
```

## Properties
For the energy relative to the elements, the calculation gives -413 meV/atom. The volume is 174.5 Å³/cell. The value obtained for the magnetic moment is 0.00 μB per formula unit.

Below is PaAlNi3 after structural relaxation, with properties calculated at the PBE level.

The structure in POSCAR format:
```
PaAlNi3
1.0
-0.904 -2.379 -3.993
4.215 -2.065 0.276
-2.323 -3.978 5.704
Al Ni Pa
2 6 2
Direct
0.456 0.750 0.912
0.544 0.250 0.088
0.613 0.250 0.738
0.000 0.500 0.000
0.387 0.750 0.262
0.875 0.750 0.262
0.000 0.000 0.000
0.125 0.250 0.738
0.191 0.250 0.381
0.809 0.750 0.619
```

## Properties
For the energy relative to the elements, the calculation gives -331 meV/atom. The volume is 154.5 Å³/cell. The value obtained for the magnetic moment is 0.00 μB per formula unit.

Below is PaAl4Ni2 after structural relaxation, with properties calculated at the PBE level.

The structure in POSCAR format:
```
PaAl4Ni2
1.0
-2.703 -3.121 0.329
1.750 -1.858 -3.254
3.290 -2.251 5.682
Pa Ni Al
1 2 4
Direct
0.000 0.000 0.000
0.500 0.410 0.819
0.500 0.590 0.181
0.500 0.180 0.359
0.000 0.679 0.357
0.000 0.321 0.643
0.500 0.820 0.641
```

## Properties
For the energy relative to the elements, the calculation gives -388 meV/atom. The volume is 113.5 Å³/cell. The value obtained for the magnetic moment is 0.00 μB per formula unit. The energy above the most stable polymorph in this dataset is 0.118 eV/atom.

Below is Pa3AlNi4 after structural relaxation, with properties calculated at the PBE level.

The structure in POSCAR format:
```
Pa3AlNi4
1.0
-4.664 -1.390 -0.395
1.140 -3.113 -2.501
6.632 -7.652 2.199
Ni Pa Al
4 3 1
Direct
0.536 0.419 0.721
0.305 0.784 0.811
0.695 0.216 0.189
0.464 0.581 0.279
0.140 0.354 0.431
0.000 0.500 0.000
0.860 0.646 0.569
0.500 0.000 0.000
```

## Properties
For the energy relative to the elements, the calculation gives -371 meV/atom. The volume is 143.0 Å³/cell. The value obtained for the magnetic moment is 0.00 μB per formula unit. The energy above the most stable polymorph in this dataset is 0.000 eV/atom.

Below is PaAl2Ni after structural relaxation, with properties calculated at the PBE level.

The structure in POSCAR format:
```
PaAl2Ni
1.0
-2.834 -0.781 -0.071
0.761 -2.804 0.454
-0.488 1.087 7.528
Pa Ni Al
1 1 2
Direct
0.500 0.500 0.500
0.500 0.500 0.000
0.000 0.000 0.187
0.000 0.000 0.813
```

## Properties
For the energy relative to the elements, the calculation gives -393 meV/atom. The volume is 65.9 Å³/cell. The value obtained for the magnetic moment is 0.00 μB per formula unit.

Below is Pa2Al8Ni after structural relaxation, with properties calculated at the PBE level.

The structure in POSCAR format:
```
Pa2Al8Ni
1.0
-2.933 2.838 1.247
-2.353 -3.155 1.647
5.308 1.170 9.825
Al Pa Ni
8 2 1
Direct
0.000 0.500 0.118
0.500 0.000 0.882
0.500 0.500 0.696
0.500 0.500 0.304
0.000 0.500 0.882
0.000 0.500 0.500
0.500 0.000 0.500
0.500 0.000 0.118
0.000 0.000 0.308
0.000 0.000 0.692
0.000 0.000 0.000
```

## Properties
For the energy relative to the elements, the calculation gives -334 meV/atom. The volume is 204.4 Å³/cell. The value obtained for the magnetic moment is 0.00 μB per formula unit.

Below is PaAl4Ni5 after structural relaxation, with properties calculated at the PBE level.

The structure in POSCAR format:
```
PaAl4Ni5
1.0
-0.389 -2.810 -0.826
2.770 -0.082 -1.024
4.896 -4.680 13.614
Ni Al Pa
5 4 1
Direct
0.500 0.500 0.500
0.500 0.500 0.867
0.500 0.500 0.133
0.500 0.500 0.317
0.500 0.500 0.683
0.000 0.000 0.408
0.000 0.000 0.222
0.000 0.000 0.778
0.000 0.000 0.592
0.000 0.000 0.000
```

## Properties
For the energy relative to the elements, the calculation gives -571 meV/atom. The volume is 132.8 Å³/cell. The value obtained for the magnetic moment is 0.00 μB per formula unit.

Below is Pa2AlNi9 after structural relaxation, with properties calculated at the PBE level.

The structure in POSCAR format:
```
Pa2AlNi9
1.0
-1.775 -4.177 1.634
1.868 -4.177 -1.528
5.398 -2.646 6.218
Ni Pa Al
9 2 1
Direct
0.417 0.918 0.247
0.667 0.667 0.999
0.082 0.583 0.753
0.918 0.417 0.247
0.583 0.583 0.753
0.333 0.333 0.001
0.500 0.500 0.500
0.583 0.082 0.753
0.417 0.417 0.247
0.135 0.135 0.594
0.865 0.865 0.406
0.000 0.000 0.000
```

## Properties
For the energy relative to the elements, the calculation gives -288 meV/atom. The volume is 165.0 Å³/cell. The value obtained for the magnetic moment is 0.00 μB per formula unit. The energy above the most stable polymorph in this dataset is 0.102 eV/atom.

Below is Pa2AlNi9 after structural relaxation, with properties calculated at the PBE level.

The structure in POSCAR format:
```
Pa2AlNi9
1.0
3.839 0.000 0.000
0.000 3.839 0.000
0.000 0.000 10.943
Pa Al Ni
2 1 9
Direct
0.000 0.000 0.318
0.000 0.000 0.682
0.000 0.000 0.000
0.000 0.500 0.152
0.000 0.500 0.848
0.500 0.500 0.671
0.500 0.500 0.000
0.500 0.000 0.500
0.500 0.000 0.848
0.500 0.000 0.152
0.500 0.500 0.329
0.000 0.500 0.500
```

## Properties
For the energy relative to the elements, the calculation gives -391 meV/atom. The volume is 161.3 Å³/cell. The value obtained for the magnetic moment is 0.00 μB per formula unit. The energy above the most stable polymorph in this dataset is 0.000 eV/atom.

Below is PaAlNi after structural relaxation, with properties calculated at the PBE level.

The structure in POSCAR format:
```
PaAlNi
1.0
3.048 0.000 0.000
0.000 3.048 0.000
-1.524 -1.524 5.563
Pa Ni Al
1 1 1
Direct
0.012 0.012 0.025
0.685 0.685 0.369
0.303 0.303 0.606
```

## Properties
For the energy relative to the elements, the calculation gives -381 meV/atom. The volume is 51.7 Å³/cell. The value obtained for the magnetic moment is 0.00 μB per formula unit.

Below is Pa2AlNi after structural relaxation, with properties calculated at the PBE level.

The structure in POSCAR format:
```
Pa2AlNi
1.0
-2.120 -1.098 -1.882
0.568 -2.497 -1.639
-4.239 -7.029 6.420
Ni Pa Al
1 2 1
Direct
0.000 0.000 0.000
0.082 0.082 0.755
0.918 0.918 0.245
0.500 0.500 0.500
```

## Properties
For the energy relative to the elements, the calculation gives 234 meV/atom. The volume is 82.2 Å³/cell. The value obtained for the magnetic moment is 0.00 μB per formula unit.

Below is PaAlNi6 after structural relaxation, with properties calculated at the PBE level.

The structure in POSCAR format:
```
PaAlNi6
1.0
6.314 0.000 1.411
3.000 5.556 1.411
2.422 1.445 3.995
Ni Pa Al
6 1 1
Direct
0.155 0.532 0.159
0.845 0.845 0.841
0.468 0.845 0.841
0.532 0.155 0.159
0.155 0.155 0.159
0.845 0.468 0.841
0.500 0.500 0.500
0.000 0.000 0.000
```

## Properties
For the energy relative to the elements, the calculation gives -95 meV/atom. The volume is 114.4 Å³/cell. The value obtained for the magnetic moment is 0.00 μB per formula unit. The energy above the most stable polymorph in this dataset is 0.203 eV/atom.

Below is PaAl3Ni2 after structural relaxation, with properties calculated at the PBE level.

The structure in POSCAR format:
```
PaAl3Ni2
1.0
4.066 0.000 0.000
0.000 7.808 -4.508
0.000 0.000 9.016
Al Ni Pa
9 6 3
Direct
0.000 0.289 0.000
0.000 0.711 0.000
0.000 0.289 0.289
0.000 0.000 0.711
0.000 0.000 0.289
0.000 0.711 0.711
0.500 0.000 0.500
0.500 0.500 0.500
0.500 0.500 0.000
0.500 0.813 0.187
0.500 0.375 0.187
0.500 0.813 0.625
0.500 0.187 0.375
0.500 0.187 0.813
0.500 0.625 0.813
0.000 0.667 0.333
0.000 0.333 0.667
0.500 0.000 0.000
```

## Properties
For the energy relative to the elements, the calculation gives -526 meV/atom. The volume is 286.2 Å³/cell. The value obtained for the magnetic moment is 0.00 μB per formula unit.

Below is PaAl7Ni5 after structural relaxation, with properties calculated at the PBE level.

The structure in POSCAR format:
```
PaAl7Ni5
1.0
4.602 0.000 1.890
2.329 6.085 0.876
-0.011 -0.054 6.574
Ni Al Pa
5 7 1
Direct
0.501 0.490 0.005
0.501 0.005 0.490
0.717 0.783 0.783
0.004 0.490 0.005
0.004 0.005 0.490
0.346 0.654 0.654
0.654 0.346 0.346
0.986 0.361 0.666
0.509 0.202 0.780
0.509 0.780 0.202
0.275 0.225 0.225
0.986 0.666 0.361
0.007 0.993 0.993
```

## Properties
For the energy relative to the elements, the calculation gives -525 meV/atom. The volume is 184.2 Å³/cell. The value obtained for the magnetic moment is 0.00 μB per formula unit.

Below is PaAl5Ni2 after structural relaxation, with properties calculated at the PBE level.

The structure in POSCAR format:
```
PaAl5Ni2
1.0
3.932 0.000 0.000
1.966 5.827 0.208
1.966 1.275 5.689
Al Pa Ni
5 1 2
Direct
0.345 0.468 0.843
0.655 0.532 0.157
0.655 0.157 0.532
0.000 0.500 0.500
0.345 0.843 0.468
0.000 0.000 0.000
0.743 0.757 0.757
0.257 0.243 0.243
```

## Properties
For the energy relative to the elements, the calculation gives -486 meV/atom. The volume is 129.3 Å³/cell. The value obtained for the magnetic moment is 0.00 μB per formula unit.

Below is Pa2AlNi5 after structural relaxation, with properties calculated at the PBE level.

The structure in POSCAR format:
```
Pa2AlNi5
1.0
5.477 0.256 0.364
-2.474 4.893 -0.364
-2.474 -2.007 4.477
Ni Al Pa
5 1 2
Direct
0.000 0.721 0.305
0.585 0.305 0.305
0.000 0.305 0.721
0.415 0.721 0.721
0.000 0.252 0.252
0.000 0.914 0.914
0.500 0.752 0.252
0.500 0.252 0.752
```

## Properties
For the energy relative to the elements, the calculation gives -294 meV/atom. The volume is 125.3 Å³/cell. The value obtained for the magnetic moment is 0.00 μB per formula unit.

Below is PaAlNi after structural relaxation, with properties calculated at the PBE level.

The structure in POSCAR format:
```
PaAlNi
1.0
-2.920 2.785 -0.174
-1.113 -0.753 6.607
7.995 8.530 2.319
Al Pa Ni
6 6 6
Direct
0.500 0.779 0.250
0.500 0.221 0.750
0.500 0.435 0.130
0.500 0.435 0.370
0.500 0.565 0.870
0.500 0.565 0.630
0.000 0.131 0.250
0.000 0.869 0.750
0.000 0.240 0.960
0.000 0.240 0.540
0.000 0.760 0.040
0.000 0.760 0.460
0.500 0.058 0.101
0.000 0.453 0.750
0.000 0.547 0.250
0.500 0.942 0.899
0.500 0.942 0.601
0.500 0.058 0.399
```

## Properties
For the energy relative to the elements, the calculation gives -453 meV/atom. The volume is 324.6 Å³/cell. The value obtained for the magnetic moment is 0.00 μB per formula unit.